This record from Alexandria describes a geometry-optimized CrTeSe2 structure. The functional is GGA-PBE. Values from VASP.

**Raw total energy**: -4.896 eV/atom
**Formation energy (no corrections)**: 0.04 eV per atom
**Total moment**: 1.89 μB per cell
**Symmetry**: Immm (71)

Cell and atoms, written as Quantum ESPRESSO input:
```
&SYSTEM
  ibrav = 0, nat = 4, ntyp = 3
/
ATOMIC_SPECIES
Cr 52.00 Cr.upf
Se 78.96 Se.upf
Te 127.60 Te.upf
CELL_PARAMETERS angstrom
-1.0681 1.5363 6.3605
3.3510 -2.8805 4.9427
-0.5459 3.8095 -5.3988
ATOMIC_POSITIONS crystal
Cr 0.2500 0.7500 0.5000
Se 0.0858 0.0858 0.0000
Se 0.4142 0.4142 0.0000
Te 0.7500 0.2500 0.5000
```